# BiTe2H

A relaxed structure of BiTe2H (PBE, Alexandria via LeMat-Bulk).

Cell lengths 4.6232, 7.8690, 6.7846 Å; angles 91.15, 90.00, 90.00 degrees
Last column: nearest neighbours and their distance in Å.
Positions (direct):
Bi  0.0971  0.2111  0.7273  5 Te 2.96-3.24
Bi  0.4672  0.7111  0.7273  5 Te 2.96-3.24
Te  0.0084  0.8684  0.9733  1 H 2.47
Te  0.5381  0.0241  0.4428  1 H 1.73
Te  0.0262  0.5242  0.4428  1 H 1.73
Te  0.5559  0.3685  0.9733  1 H 2.47
H  0.2859  0.9613  0.2679  1 Te 1.73
H  0.2783  0.4613  0.2679  1 Te 1.73

Calculated values
The total energy is -3.40 eV/atom. Its crystal system is monoclinic.

# BiTe2H

A relaxed structure of BiTe2H (PBE, Alexandria via LeMat-Bulk).

Cell lengths 6.3815, 6.3815, 7.3817 Å; angles 64.39, 64.39, 90.00 degrees
Last column: nearest neighbours and their distance in Å.
Positions (direct):
Te  0.8750  0.7824  0.7500  2 H 2.38
Te  0.2176  0.6250  0.2500  2 H 2.38
Te  0.3750  0.4676  0.7500  2 H 2.38
Te  0.5324  0.1250  0.2500  2 H 2.38
Bi  0.7500  0.2500  0.5000  4 Te 3.08
Bi  0.0000  0.0000  0.0000  4 Te 3.08
H  0.5000  0.5000  0.0000  4 Te 2.38
H  0.2500  0.7500  0.5000  4 Te 2.38

Calculated values
The calculation puts the density of states at the Fermi level at 0.248 states/eV/f.u. The total energy is -3.03 eV/atom. Its crystal system is tetragonal.

Copy entry 2 word for word.
# BiTe2H

A relaxed structure of BiTe2H (PBE, Alexandria via LeMat-Bulk).

Cell lengths 6.3815, 6.3815, 7.3817 Å; angles 64.39, 64.39, 90.00 degrees
Last column: nearest neighbours and their distance in Å.
Positions (direct):
Te  0.8750  0.7824  0.7500  2 H 2.38
Te  0.2176  0.6250  0.2500  2 H 2.38
Te  0.3750  0.4676  0.7500  2 H 2.38
Te  0.5324  0.1250  0.2500  2 H 2.38
Bi  0.7500  0.2500  0.5000  4 Te 3.08
Bi  0.0000  0.0000  0.0000  4 Te 3.08
H  0.5000  0.5000  0.0000  4 Te 2.38
H  0.2500  0.7500  0.5000  4 Te 2.38

Calculated values
The calculation puts the density of states at the Fermi level at 0.248 states/eV/f.u. The total energy is -3.03 eV/atom. Its crystal system is tetragonal.